Record 1
Crystalline ThUAs2N at its relaxed geometry, computed with PBE-GGA.

Results
Density of states at the Fermi level, states/eV per cell: 9.79
Theoretical density, g/cm³: 9.14
Space group: P4/nmm, No. 129
Formation energy without anion corrections, eV per formula unit: -5.31

a b c (Å): 4.004 4.004 14.362
angles (deg): 90.00 90.00 90.00
Each line ends with the local moment (μB).
Fractional coordinates of all 10 atoms:
N1 0.000 0.000 0.500  -0.09
U1 0.500 0.000 0.577  1.01
As1 0.000 0.500 0.091  0.00
As2 0.500 0.000 0.329  -0.08
Th1 0.000 0.500 0.874  -0.02
As3 0.000 0.500 0.671  -0.08
U2 0.000 0.500 0.423  1.01
N2 0.500 0.500 0.500  -0.09
As4 0.500 0.000 0.909  0.00
Th2 0.500 0.000 0.126  -0.02

---

Record 2
Crystalline Dy3AlCd at its relaxed geometry, computed with PBE-GGA.

Results
Density of states at the Fermi level, states/eV per cell: 11.05
Energy above the most stable polymorph in this dataset, meV/atom: 0.0
Theoretical density, g/cm³: 7.83
Space group: Cmcm, No. 63

a b c (Å): 5.112 5.113 10.496
angles (deg): 90.00 75.91 90.00
Fractional coordinates of all 10 atoms:
Dy1 0.574 0.250 0.499
Cd1 0.167 0.250 0.314
Dy2 0.388 0.250 0.873
Dy3 0.261 0.750 0.127
Dy4 0.762 0.250 0.125
Dy5 0.887 0.750 0.875
Al1 0.982 0.250 0.685
Dy6 0.074 0.750 0.501
Al2 0.667 0.750 0.315
Cd2 0.481 0.750 0.686

---

Record 3
Crystalline Nd2Al6Au3 at its relaxed geometry, computed with PBE-GGA.

Results
Density of states at the Fermi level, states/eV per cell: 3.92
Uncorrected energy, eV for the cell shown: -48.484
Theoretical density, g/cm³: 7.57
Space group: P-62m, No. 189

a b c (Å): 4.198 7.927 7.927
angles (deg): 120.00 90.00 90.00
Fractional coordinates of all 11 atoms:
Al1 0.500 0.000 0.304
Al2 0.500 0.304 0.000
Nd1 0.000 0.333 0.667
Au1 0.500 0.000 0.630
Au2 0.500 0.630 0.000
Al3 0.500 0.696 0.696
Al4 0.000 0.810 0.000
Al5 0.000 0.190 0.190
Nd2 0.000 0.667 0.333
Au3 0.500 0.370 0.370
Al6 0.000 0.000 0.810

---

Record 4
Crystalline Na2NiH6 at its relaxed geometry, computed with PBE-GGA.

Results
Density of states at the Fermi level, states/eV per cell: 0.00
Uncorrected energy, eV for the cell shown: -58.342
Theoretical density, g/cm³: 1.89
Space group: P4_2/mnm, No. 136

a b c (Å): 4.626 4.626 9.114
angles (deg): 90.00 90.00 90.00
Each line ends with the local moment (μB).
Fractional coordinates of all 18 atoms:
Na1 0.500 0.500 0.334  0.00
H1 0.230 0.230 0.500  0.00
H2 0.837 0.163 0.384  0.00
H3 0.837 0.163 0.616  0.00
Na2 0.500 0.500 0.666  0.00
Ni1 0.000 0.000 0.500  -0.10
Na3 0.000 0.000 0.166  0.00
H4 0.270 0.730 0.000  0.00
H5 0.337 0.337 0.116  0.00
Na4 0.000 0.000 0.834  0.00
H6 0.163 0.837 0.384  0.00
H7 0.337 0.337 0.884  0.00
H8 0.663 0.663 0.884  0.00
H9 0.663 0.663 0.116  0.00
H10 0.770 0.770 0.500  0.00
H11 0.730 0.270 0.000  0.00
Ni2 0.500 0.500 0.000  -0.10
H12 0.163 0.837 0.616  0.00

---

Record 5
Crystalline NiRu2 at its relaxed geometry, computed with PBE-GGA.

Results
Density of states at the Fermi level, states/eV per cell: 20.55
Energy above the most stable polymorph in this dataset, meV/atom: 570.8
Theoretical density, g/cm³: 9.87
Space group: P6_3/mmc, No. 194

a b c (Å): 5.023 5.023 8.033
angles (deg): 90.00 90.00 60.00
Each line ends with the local moment (μB).
Fractional coordinates of all 12 atoms:
Ru1 0.000 0.000 0.500  0.12
Ni1 0.333 0.333 0.590  0.43
Ru2 0.175 0.175 0.250  0.25
Ru3 0.175 0.650 0.250  0.25
Ru4 0.000 0.000 0.000  0.12
Ni2 0.333 0.333 0.910  0.43
Ni3 0.667 0.667 0.090  0.43
Ni4 0.667 0.667 0.410  0.43
Ru5 0.650 0.175 0.250  0.25
Ru6 0.825 0.350 0.750  0.25
Ru7 0.350 0.825 0.750  0.25
Ru8 0.825 0.825 0.750  0.25

---

Record 6
Crystalline TiTlHgCl6 at its relaxed geometry, computed with PBE-GGA.

Results
Density of states at the Fermi level, states/eV per cell: 1.50
Theoretical density, g/cm³: 3.75
Space group: P1, No. 1
Formation energy without anion corrections, eV per formula unit: -10.25

a b c (Å): 8.128 6.951 6.925
angles (deg): 85.72 103.90 53.83
Fractional coordinates of all 9 atoms:
Cl1 0.107 0.534 0.700
Cl2 0.080 0.381 0.252
Hg1 0.885 0.854 0.986
Cl3 0.502 0.959 0.718
Cl4 0.201 0.760 0.328
Cl5 0.617 0.346 0.762
Ti1 0.347 0.358 0.513
Tl1 0.678 0.637 0.412
Cl6 0.582 0.171 0.328

---

Record 7
Crystalline BiSe2Cl at its relaxed geometry, computed with PBE-GGA.

Results
Density of states at the Fermi level, states/eV per cell: 7.37
Energy above the most stable polymorph in this dataset, meV/atom: 62.1
Theoretical density, g/cm³: 7.15
Space group: Fm-3m, No. 225
Formation energy without anion corrections, eV per formula unit: 0.53

a b c (Å): 5.094 5.094 5.094
angles (deg): 60.00 60.00 60.00
Fractional coordinates of all 4 atoms:
Cl1 0.000 0.000 0.000
Se1 0.750 0.750 0.750
Se2 0.250 0.250 0.250
Bi1 0.500 0.500 0.500

---

Record 8
Crystalline TiAu at its relaxed geometry, computed with PBE-GGA.

Results
Density of states at the Fermi level, states/eV per cell: 2.73
Uncorrected energy, eV for the cell shown: -23.881
Theoretical density, g/cm³: 11.86
Space group: Pmma, No. 51

a b c (Å): 2.998 4.633 4.939
angles (deg): 90.00 90.02 90.00
Each line ends with the local moment (μB).
Fractional coordinates of all 4 atoms:
Ti1 0.499 0.250 0.186  0.73
Au1 0.000 0.750 0.319  0.02
Au2 0.000 0.250 0.681  0.02
Ti2 0.501 0.750 0.814  0.73

---

Record 9
Crystalline Ca2BIr at its relaxed geometry, computed with PBE-GGA.

Results
Density of states at the Fermi level, states/eV per cell: 6.13
Uncorrected energy, eV for the cell shown: -40.833
Theoretical density, g/cm³: 4.52
Space group: I-42d, No. 122

a b c (Å): 10.209 10.209 7.490
angles (deg): 47.04 47.04 90.00
Fractional coordinates of all 8 atoms:
Ca1 0.875 0.683 0.750
B1 0.250 0.750 0.500
Ca2 0.433 0.125 0.250
Ir1 0.000 0.000 0.000
Ca3 0.375 0.567 0.750
Ca4 0.317 0.625 0.250
Ir2 0.750 0.250 0.500
B2 0.500 0.500 0.000

---

Record 10
Crystalline InPtCl2 at its relaxed geometry, computed with PBE-GGA.

Results
Density of states at the Fermi level, states/eV per cell: 6.96
Energy above the most stable polymorph in this dataset, meV/atom: 671.9
Theoretical density, g/cm³: 7.63
Space group: Fm-3m, No. 225
Formation energy without anion corrections, eV per formula unit: 0.94

a b c (Å): 4.893 4.893 4.893
angles (deg): 60.00 60.00 60.00
Fractional coordinates of all 4 atoms:
Cl1 0.250 0.250 0.250
Cl2 0.750 0.750 0.750
Pt1 0.500 0.500 0.500
In1 0.000 0.000 0.000

---

Record 11
Crystalline Pm6Er2TmSc at its relaxed geometry, computed with PBE-GGA.

Results
Density of states at the Fermi level, states/eV per cell: 28.25
Uncorrected energy, eV for the cell shown: -94.310
Theoretical density, g/cm³: 7.25
Space group: C2/c, No. 15

a b c (Å): 9.363 8.876 8.876
angles (deg): 117.57 93.38 93.38
Fractional coordinates of all 20 atoms:
Er1 0.548 0.205 0.303
Sc1 0.250 0.420 0.580
Pm1 0.052 0.121 0.769
Pm2 0.113 0.710 0.487
Pm3 0.805 0.440 0.006
Pm4 0.195 0.560 0.994
Er2 0.048 0.303 0.205
Tm1 0.750 0.027 0.973
Pm5 0.948 0.879 0.231
Pm6 0.887 0.290 0.513
Pm7 0.387 0.513 0.290
Er3 0.952 0.697 0.795
Pm8 0.552 0.769 0.121
Pm9 0.448 0.231 0.879
Sc2 0.750 0.580 0.420
Pm10 0.695 0.994 0.560
Pm11 0.305 0.006 0.440
Er4 0.452 0.795 0.697
Tm2 0.250 0.973 0.027
Pm12 0.613 0.487 0.710

---

Record 12
Crystalline TlZn2B2 at its relaxed geometry, computed with PBE-GGA.

Results
Density of states at the Fermi level, states/eV per cell: 1.49
Energy above the most stable polymorph in this dataset, meV/atom: 0.0
Theoretical density, g/cm³: 8.54
Space group: I4/mmm, No. 139

a b c (Å): 3.844 3.844 5.427
angles (deg): 69.26 69.26 90.00
Fractional coordinates of all 5 atoms:
Zn1 0.750 0.250 0.500
B1 0.409 0.409 0.182
B2 0.591 0.591 0.818
Tl1 0.000 0.000 0.000
Zn2 0.250 0.750 0.500

---

Among the records above, which one has the highest density of states at the Fermi level? Pm6Er2TmSc

---

Copy entry 7 word for word.
Crystalline BiSe2Cl at its relaxed geometry, computed with PBE-GGA.

Results
Density of states at the Fermi level, states/eV per cell: 7.37
Energy above the most stable polymorph in this dataset, meV/atom: 62.1
Theoretical density, g/cm³: 7.15
Space group: Fm-3m, No. 225
Formation energy without anion corrections, eV per formula unit: 0.53

a b c (Å): 5.094 5.094 5.094
angles (deg): 60.00 60.00 60.00
Fractional coordinates of all 4 atoms:
Cl1 0.000 0.000 0.000
Se1 0.750 0.750 0.750
Se2 0.250 0.250 0.250
Bi1 0.500 0.500 0.500

---

Repeat the sixth record exactly.
Crystalline TiTlHgCl6 at its relaxed geometry, computed with PBE-GGA.

Results
Density of states at the Fermi level, states/eV per cell: 1.50
Theoretical density, g/cm³: 3.75
Space group: P1, No. 1
Formation energy without anion corrections, eV per formula unit: -10.25

a b c (Å): 8.128 6.951 6.925
angles (deg): 85.72 103.90 53.83
Fractional coordinates of all 9 atoms:
Cl1 0.107 0.534 0.700
Cl2 0.080 0.381 0.252
Hg1 0.885 0.854 0.986
Cl3 0.502 0.959 0.718
Cl4 0.201 0.760 0.328
Cl5 0.617 0.346 0.762
Ti1 0.347 0.358 0.513
Tl1 0.678 0.637 0.412
Cl6 0.582 0.171 0.328